A plane-wave DFT calculation with PBE was carried out for a geometry-optimized SrBe4Bi3O12 structure.

a = 6.6713 Å, b = 6.6713 Å, c = 6.6713 Å
α = 104.28°, β = 104.28°, γ = 104.28°
Atoms (fractional coordinates):
Sr 0.0000 0.0000 0.0000
Be 0.0541 0.5000 0.9459
Be 0.5000 0.5000 0.5000
Be 0.5000 0.9459 0.0541
Be 0.9459 0.0541 0.5000
Bi 0.0000 0.5445 0.4555
Bi 0.4555 0.0000 0.5445
Bi 0.5445 0.4555 0.0000
O 0.0196 0.6318 0.7885
O 0.0965 0.9035 0.5000
O 0.2115 0.3682 0.9804
O 0.3528 0.6472 0.5000
O 0.3682 0.9804 0.2115
O 0.5000 0.0965 0.9035
O 0.5000 0.3528 0.6472
O 0.6318 0.7885 0.0197
O 0.6472 0.5000 0.3528
O 0.7885 0.0197 0.6318
O 0.9035 0.5000 0.0965
O 0.9804 0.2115 0.3682

Results
Space-group type ... R32 (155)
Energy ... -6.13 eV per atom
ρ ... 5.940 g/cm3

A plane-wave DFT calculation with PBE was carried out for a geometry-optimized MgTl2Cr structure.

a = 3.3377 Å, b = 5.4721 Å, c = 5.0706 Å
α = 90.00°, β = 90.00°, γ = 90.00°
Atoms (fractional coordinates):
Mg 0.0000 0.0000 0.0000
Tl 0.0000 0.5000 0.6914
Tl 0.5000 0.0000 0.4895
Cr 0.5000 0.5000 0.1885

Results
Space-group type ... Pmm2 (25)
Energy ... -3.63 eV per atom
Energy of formation from the pure elements ... 360 meV/atom
ρ ... 8.698 g/cm3

Copy entry 1 word for word.
A plane-wave DFT calculation with PBE was carried out for a geometry-optimized SrBe4Bi3O12 structure.

a = 6.6713 Å, b = 6.6713 Å, c = 6.6713 Å
α = 104.28°, β = 104.28°, γ = 104.28°
Atoms (fractional coordinates):
Sr 0.0000 0.0000 0.0000
Be 0.0541 0.5000 0.9459
Be 0.5000 0.5000 0.5000
Be 0.5000 0.9459 0.0541
Be 0.9459 0.0541 0.5000
Bi 0.0000 0.5445 0.4555
Bi 0.4555 0.0000 0.5445
Bi 0.5445 0.4555 0.0000
O 0.0196 0.6318 0.7885
O 0.0965 0.9035 0.5000
O 0.2115 0.3682 0.9804
O 0.3528 0.6472 0.5000
O 0.3682 0.9804 0.2115
O 0.5000 0.0965 0.9035
O 0.5000 0.3528 0.6472
O 0.6318 0.7885 0.0197
O 0.6472 0.5000 0.3528
O 0.7885 0.0197 0.6318
O 0.9035 0.5000 0.0965
O 0.9804 0.2115 0.3682

Results
Space-group type ... R32 (155)
Energy ... -6.13 eV per atom
ρ ... 5.940 g/cm3

Question: ρ of number 2 (MgTl2Cr)?
Answer: 8.698 g/cm3

What did the second record say?
A plane-wave DFT calculation with PBE was carried out for a geometry-optimized MgTl2Cr structure.

a = 3.3377 Å, b = 5.4721 Å, c = 5.0706 Å
α = 90.00°, β = 90.00°, γ = 90.00°
Atoms (fractional coordinates):
Mg 0.0000 0.0000 0.0000
Tl 0.0000 0.5000 0.6914
Tl 0.5000 0.0000 0.4895
Cr 0.5000 0.5000 0.1885

Results
Space-group type ... Pmm2 (25)
Energy ... -3.63 eV per atom
Energy of formation from the pure elements ... 360 meV/atom
ρ ... 8.698 g/cm3

Question: Among the records above, which one has the lowest energy?
Answer: SrBe4Bi3O12